Entry 1:
Compound: TlRhSe2
Source: the Alexandria database
Functional: GGA-PBE
Structure: optimized geometry

Lattice parameters (Å, degrees): 4.861 4.861 4.861 60.00 60.00 60.00
Positions (direct):
Tl: 0.500 0.500 0.500
Rh: 0.000 0.000 0.000
Se: 0.250 0.250 0.250
Se: 0.750 0.750 0.750

Summary:
Its uncorrected formation energy is 353 meV per atom. The space-group type is Fm-3m. The value obtained for the magnetization is 0.00 μB/f.u. The total energy is -3.82 eV/atom.



Entry 2:
Compound: TlRhSe2
Source: the Alexandria database
Functional: GGA-PBE
Structure: optimized geometry

Lattice parameters (Å, degrees): 5.016 5.016 3.230 90.00 90.00 90.00
Positions (direct):
Rh: 0.000 0.500 0.500
Se: 0.000 0.000 0.000
Se: 0.500 0.500 0.000
Tl: 0.500 0.000 0.500

Summary:
Its uncorrected formation energy is 318 meV per atom. The space-group type is P4/mmm. The value obtained for the magnetization is 0.00 μB/f.u. The total energy is -3.85 eV/atom.



Entry 3:
Compound: TlRhSe2
Source: the Alexandria database
Functional: GGA-PBE
Structure: optimized geometry

Lattice parameters (Å, degrees): 3.414 4.591 5.140 90.00 90.00 90.00
Positions (direct):
Rh: 0.000 0.500 0.500
Se: 0.000 0.000 0.000
Se: 0.500 0.500 0.000
Tl: 0.500 0.000 0.500

Summary:
Its uncorrected formation energy is 374 meV per atom. The space-group type is Pmmm. The value obtained for the magnetization is 0.00 μB/f.u. The total energy is -3.80 eV/atom.



Entry 4:
Compound: TlRhSe2
Source: the Alexandria database
Functional: GGA-PBE
Structure: optimized geometry

Lattice parameters (Å, degrees): 3.795 3.795 8.015 90.00 90.00 120.00
Positions (direct):
Tl: 0.333 0.667 0.461
Rh: 0.000 0.000 0.997
Se: 0.333 0.667 0.844
Se: 0.667 0.333 0.153

Summary:
Its uncorrected formation energy is -337 meV per atom. The space-group type is P3m1. The value obtained for the magnetization is 0.00 μB/f.u. The total energy is -4.51 eV/atom.



Entry 5:
Compound: TlRhSe2
Source: the Alexandria database
Functional: GGA-PBE
Structure: optimized geometry

Lattice parameters (Å, degrees): 3.838 3.838 7.669 104.35 90.01 120.00
Positions (direct):
Tl: 0.263 0.736 0.305
Rh: 0.425 0.059 0.795
Se: 0.036 0.281 0.626
Se: 0.813 0.836 0.962

Summary:
Its uncorrected formation energy is -392 meV per atom. The space-group type is Cm. The value obtained for the magnetization is 0.00 μB/f.u. The total energy is -4.56 eV/atom.



Entry 6:
Compound: Tl2RhSe
Source: the Alexandria database
Functional: GGA-PBE
Structure: optimized geometry

Lattice parameters (Å, degrees): 7.936 7.936 3.958 75.59 75.59 24.48
Positions (direct):
Rh: 0.250 0.250 0.250
Se: 0.750 0.750 0.750
Tl: 0.918 0.918 0.082
Tl: 0.582 0.582 0.418

Summary:
Its uncorrected formation energy is -38 meV per atom. The space-group type is Immm. The value obtained for the magnetization is 0.00 μB/f.u. The total energy is -3.93 eV/atom.



Entry 7:
Compound: Tl2RhSe
Source: the Alexandria database
Functional: GGA-PBE
Structure: optimized geometry

Lattice parameters (Å, degrees): 3.390 3.389 8.398 90.00 90.00 90.00
Positions (direct):
Rh: 0.000 0.000 0.569
Se: 0.500 0.500 0.671
Tl: 0.000 0.000 0.959
Tl: 0.500 0.500 0.300

Summary:
Its uncorrected formation energy is -71 meV per atom. The space-group type is P4mm. The value obtained for the magnetization is 0.00 μB/f.u. The total energy is -3.96 eV/atom.



Entry 8:
Compound: Tl2RhSe
Source: the Alexandria database
Functional: GGA-PBE
Structure: optimized geometry

Lattice parameters (Å, degrees): 3.414 4.513 6.722 70.48 90.00 90.00
Positions (direct):
Rh: 0.000 0.712 0.451
Se: 0.500 0.572 0.729
Tl: 0.000 0.950 0.975
Tl: 0.500 0.265 0.345

Summary:
Its uncorrected formation energy is -109 meV per atom. The space-group type is Pm. The value obtained for the magnetization is 0.00 μB/f.u. The total energy is -4.00 eV/atom.